Record 1
# Ac2BeTl, optimized geometry, DFT GGA-PBE
data_Ac2BeTl
_cell_length_a 3.8691
_cell_length_b 3.8691
_cell_length_c 8.2357
_cell_angle_alpha 90.00
_cell_angle_beta 90.00
_cell_angle_gamma 90.00
_symmetry_space_group_name_H-M 'P 1'
_symmetry_Int_Tables_number 1
loop_
_symmetry_equiv_pos_as_xyz
'x,y,z'
loop_
_atom_site_label
_atom_site_type_symbol
_atom_site_fract_x
_atom_site_fract_y
_atom_site_fract_z
Ac1 Ac 0.0000 0.0000 0.2173
Ac2 Ac 0.0000 0.0000 0.7827
Be1 Be 0.5000 0.5000 0.0000
Tl1 Tl 0.5000 0.5000 0.5000
# total energy: -3.575 eV/atom
# formation energy: 0.002 eV/atom
# polymorph energy (0 for the lowest one): 0 meV/atom

=====

Record 2
# Ac2BeTl, optimized geometry, DFT GGA-PBE
data_Ac2BeTl
_cell_length_a 11.8557
_cell_length_b 11.8557
_cell_length_c 11.8557
_cell_angle_alpha 18.76
_cell_angle_beta 18.76
_cell_angle_gamma 18.76
_symmetry_space_group_name_H-M 'P 1'
_symmetry_Int_Tables_number 1
loop_
_symmetry_equiv_pos_as_xyz
'x,y,z'
loop_
_atom_site_label
_atom_site_type_symbol
_atom_site_fract_x
_atom_site_fract_y
_atom_site_fract_z
Ac1 Ac 0.0902 0.0902 0.0902
Ac2 Ac 0.9098 0.9098 0.9098
Be1 Be 0.0000 0.0000 0.0000
Tl1 Tl 0.5000 0.5000 0.5000
# total energy: -2.897 eV/atom
# formation energy: 0.680 eV/atom
# polymorph energy (0 for the lowest one): 678 meV/atom

=====

Record 3
# Ac2YBe, optimized geometry, DFT GGA-PBE
data_Ac2YBe
_cell_length_a 12.3370
_cell_length_b 12.3370
_cell_length_c 12.3370
_cell_angle_alpha 17.51
_cell_angle_beta 17.51
_cell_angle_gamma 17.51
_symmetry_space_group_name_H-M 'P 1'
_symmetry_Int_Tables_number 1
loop_
_symmetry_equiv_pos_as_xyz
'x,y,z'
loop_
_atom_site_label
_atom_site_type_symbol
_atom_site_fract_x
_atom_site_fract_y
_atom_site_fract_z
Ac1 Ac 0.0847 0.0847 0.0847
Ac2 Ac 0.9153 0.9153 0.9153
Y1 Y 0.5000 0.5000 0.5000
Be1 Be 0.0000 0.0000 0.0000
# total energy: -3.834 eV/atom
# formation energy: 0.767 eV/atom

=====

Record 4
# AcBi2, optimized geometry, DFT GGA-PBE
data_AcBi2
_cell_length_a 9.4232
_cell_length_b 9.4232
_cell_length_c 4.8015
_cell_angle_alpha 90.00
_cell_angle_beta 90.00
_cell_angle_gamma 150.43
_symmetry_space_group_name_H-M 'P 1'
_symmetry_Int_Tables_number 1
loop_
_symmetry_equiv_pos_as_xyz
'x,y,z'
loop_
_atom_site_label
_atom_site_type_symbol
_atom_site_fract_x
_atom_site_fract_y
_atom_site_fract_z
Ac1 Ac 0.1034 0.8966 0.7500
Ac2 Ac 0.8966 0.1034 0.2500
Bi1 Bi 0.2498 0.7502 0.2500
Bi2 Bi 0.4330 0.5670 0.7500
Bi3 Bi 0.5670 0.4330 0.2500
Bi4 Bi 0.7502 0.2498 0.7500
# total energy: -4.640 eV/atom
# formation energy: -0.684 eV/atom
# polymorph energy (0 for the lowest one): 0 meV/atom

=====

no.,calculated volume (Å³ per cell)
1,123.29
2,150.57
3,148.32
4,210.41